Computed, not measured: a geometry-optimized TmCd4Hg3 structure at the PBE level of DFT.

Unit cell a=5.2207 b=6.6990 c=7.3849 alpha=116.97 beta=110.70 gamma=90.00
Closest atoms and distances in Å follow each position.
Fractional positions:
Tm: 0.7075 0.5000 0.0000  6 Cd 3.23-3.32, 6 Hg 3.35-3.44
Cd: 0.2081 0.2151 0.0000  3 Cd 2.88-3.08, 4 Hg 2.93-2.98
Cd: 0.9794 0.7746 0.5491  2 Hg 2.83, 2 Cd 3.08
Cd: 0.2081 0.7849 0.0000  3 Cd 2.88-3.08, 4 Hg 2.93-2.98
Cd: 0.4303 0.2254 0.4509  2 Hg 2.83, 2 Cd 3.08
Hg: 0.7079 0.0000 0.0000  4 Cd 2.98
Hg: 0.0211 0.3162 0.6324  4 Cd 2.83-2.93
Hg: 0.3887 0.6838 0.3676  4 Cd 2.83-2.93

Calculated values
Energy of formation from the pure elements (meV/atom): -6
Uncorrected energy (eV per atom): -1.136